Entry 1:
This record from Alexandria via LeMat-Bulk describes a relaxed structure of InGeMo2. The functional is GGA-PBE.

abc: 4.5653 4.5653 4.5653
angles: 60.00 60.00 60.00
Last column: nearest neighbours and their distance in Å.
Sites, in units of the cell vectors:
Mo 0.2500 0.2500 0.2500  4 Ge 2.80, 4 In 2.80
Mo 0.7500 0.7500 0.7500  4 Ge 2.80, 4 In 2.80
Ge 0.0000 0.0000 0.0000  8 Mo 2.80
In 0.5000 0.5000 0.5000  8 Mo 2.80

Results
energy of formation: 431 meV per atom
magnetic moment: 0.000 μB/f.u.
energy above the lowest structure with this stoichiometry: 0 meV per atom
crystal system: cubic
V: 16.82 Å³ per atom

=====

Entry 2:
This record from Alexandria via LeMat-Bulk describes a relaxed structure of BaMo2Cl2. The functional is GGA-PBE.

abc: 6.8900 6.8900 6.8900
angles: 145.07 145.07 50.23
Last column: nearest neighbours and their distance in Å.
Sites, in units of the cell vectors:
Ba 0.0000 0.0000 0.0000  8 Cl 3.42, 8 Mo 3.74
Mo 0.2500 0.7500 0.5000  4 Cl 2.47
Mo 0.7500 0.2500 0.5000  4 Cl 2.47
Cl 0.6423 0.6423 0.0000  4 Mo 2.47
Cl 0.3577 0.3577 0.0000  4 Mo 2.47

Results
magnetic moment: 0.000 μB/f.u.
crystal system: tetragonal
formation energy (no corrections): 1.08 eV per formula unit
V: 21.34 Å³ per atom

=====

Entry 3:
This record from Alexandria via LeMat-Bulk describes a relaxed structure of LiBe2Al. The functional is GGA-PBE.

abc: 3.8372 2.7035 4.7942
angles: 73.42 90.00 90.00
Last column: nearest neighbours and their distance in Å.
Sites, in units of the cell vectors:
Al 0.5000 0.7916 0.7914  7 Be 2.48-2.55, 2 Al 2.70
Be 0.0000 0.1836 0.0066  2 Be 2.21, 1 Li 2.47
Be 0.5000 0.0665 0.2450  2 Be 2.21
Li 0.0000 0.4583 0.4570  7 Be 2.47-2.54, 2 Li 2.70

Results
energy of formation: 150 meV per atom
magnetic moment: 0.000 μB/f.u.
crystal system: monoclinic
V: 11.92 Å³ per atom

=====

Entry 4:
This record from Alexandria via LeMat-Bulk describes a relaxed structure of ScCuOs2. The functional is GGA-PBE.

abc: 3.8892 2.8316 6.2114
angles: 62.92 90.00 90.00
Last column: nearest neighbours and their distance in Å.
Sites, in units of the cell vectors:
Cu 0.5000 0.7466 0.7531  5 Os 2.58-2.82, 4 Sc 2.76, 2 Cu 2.83
Os 0.0000 0.9806 0.0194  6 Os 2.65-2.83, 2 Sc 2.70-2.83, 4 Cu 2.82
Os 0.5000 0.2810 0.2194  1 Cu 2.58, 6 Os 2.65-2.83, 4 Sc 2.89
Sc 0.0000 0.4919 0.5081  6 Os 2.70-2.89, 4 Cu 2.76, 2 Sc 2.83

Results
energy of formation: -25 meV per atom
magnetic moment: 0.000 μB/f.u.
energy above the lowest structure with this stoichiometry: 0 meV per atom
crystal system: orthorhombic
V: 15.23 Å³ per atom

=====

Entry 5:
This record from Alexandria via LeMat-Bulk describes a relaxed structure of Hg2IrRu. The functional is GGA-PBE.

abc: 4.9036 4.9036 5.1328
angles: 80.32 80.32 34.95
Last column: nearest neighbours and their distance in Å.
Sites, in units of the cell vectors:
Hg 0.9997 0.9997 0.0009  3 Ru 2.86, 3 Ir 2.86-2.87, 6 Hg 2.94-2.97
Hg 0.5003 0.5003 0.4991  3 Ru 2.86, 3 Ir 2.86-2.87, 6 Hg 2.94-2.97
Ir 0.7500 0.7500 0.7500  6 Hg 2.86-2.87, 2 Ir 2.94, 4 Ru 2.96
Ru 0.2500 0.2500 0.2500  6 Hg 2.86, 2 Ru 2.94, 4 Ir 2.96

Results
energy of formation: 585 meV per atom
magnetic moment: 0.782 μB/f.u.
energy above the lowest structure with this stoichiometry: 278 meV per atom
crystal system: monoclinic
V: 17.40 Å³ per atom

=====

Entry 6:
This record from Alexandria via LeMat-Bulk describes a relaxed structure of AlTcAu2. The functional is GGA-PBE.

abc: 4.9075 4.9077 4.9043
angles: 131.36 131.36 71.16
Last column: nearest neighbours and their distance in Å.
Sites, in units of the cell vectors:
Au 0.9998 0.0002 0.0000  4 Al 2.84, 4 Tc 2.84, 4 Au 2.85-2.86
Au 0.5002 0.4998 0.0000  4 Al 2.84, 4 Tc 2.84, 4 Au 2.85-2.86
Tc 0.2500 0.7500 0.5000  8 Au 2.84, 4 Al 2.86
Al 0.7500 0.2500 0.5000  8 Au 2.84, 4 Tc 2.86

Results
energy of formation: 115 meV per atom
magnetic moment: 0.043 μB/f.u.
crystal system: monoclinic
V: 16.29 Å³ per atom